--- i ---
# SbWBr2 GGA-PBE relaxed
# **DOS(E_F)**: 2.9 states/eV per cell
# **Theoretical density**: 7.05 g/cm3
# **Space group**: Pm (6)
data_SbWBr2
_chemical_formula_sum 'Sb1 W1 Br2'
_space_group_name_H-M_alt 'P 1'
_space_group_IT_number 1
_space_group_name_Hall 'P 1'
_cell_length_a 4.1879
_cell_length_b 3.3464
_cell_length_c 8.0945
_cell_angle_alpha 90.00
_cell_angle_beta 104.79
_cell_angle_gamma 90.00
loop_
_atom_site_label
_atom_site_type_symbol
_atom_site_fract_x
_atom_site_fract_y
_atom_site_fract_z
Sb1 Sb 0.0000 0.0000 0.0000
W1 W 0.4430 0.5000 0.8826
Br1 Br 0.3171 0.0000 0.6307
Br2 Br 0.6106 0.5000 0.2309

***

--- ii ---
# SbWBr2 GGA-PBE relaxed
# **DOS(E_F)**: 3.4 states/eV per cell
# **Theoretical density**: 7.83 g/cm3
# **Space group**: P4/mmm (123)
data_SbWBr2
_chemical_formula_sum 'Sb1 W1 Br2'
_space_group_name_H-M_alt 'P 1'
_space_group_IT_number 1
_space_group_name_Hall 'P 1'
_cell_length_a 3.1210
_cell_length_b 3.1210
_cell_length_c 10.1323
_cell_angle_alpha 90.00
_cell_angle_beta 90.00
_cell_angle_gamma 90.00
loop_
_atom_site_label
_atom_site_type_symbol
_atom_site_fract_x
_atom_site_fract_y
_atom_site_fract_z
Sb1 Sb 0.0000 0.0000 0.0000
W1 W 0.0000 0.0000 0.5000
Br1 Br 0.5000 0.5000 0.3400
Br2 Br 0.5000 0.5000 0.6600

***

--- iii ---
# SbWBr2 GGA-PBE relaxed
# **DOS(E_F)**: 9.1 states/eV per cell
# **Theoretical density**: 8.21 g/cm3
# **Space group**: I4/mmm (139)
data_SbWBr2
_chemical_formula_sum 'Sb2 W2 Br4'
_space_group_name_H-M_alt 'P 1'
_space_group_IT_number 1
_space_group_name_Hall 'P 1'
_cell_length_a 4.5336
_cell_length_b 4.5336
_cell_length_c 9.1543
_cell_angle_alpha 90.00
_cell_angle_beta 90.00
_cell_angle_gamma 90.00
loop_
_atom_site_label
_atom_site_type_symbol
_atom_site_fract_x
_atom_site_fract_y
_atom_site_fract_z
Sb1 Sb 0.0000 0.0000 0.0000
Sb2 Sb 0.5000 0.5000 0.5000
W1 W 0.0000 0.0000 0.5000
W2 W 0.5000 0.5000 0.0000
Br1 Br 0.0000 0.5000 0.2500
Br2 Br 0.0000 0.5000 0.7500
Br3 Br 0.5000 0.0000 0.2500
Br4 Br 0.5000 0.0000 0.7500

***

Each structure's energy above the most stable one, in meV per atom: i 0; ii 427; iii 1035.

***

--- i ---
# Sb2WBr GGA-PBE relaxed
# **DOS(E_F)**: 6.1 states/eV per cell
# **Theoretical density**: 7.27 g/cm3
# **Space group**: Cm (8)
data_Sb2WBr
_chemical_formula_sum 'Sb4 W2 Br2'
_space_group_name_H-M_alt 'P 1'
_space_group_IT_number 1
_space_group_name_Hall 'P 1'
_cell_length_a 10.0543
_cell_length_b 3.2876
_cell_length_c 7.7805
_cell_angle_alpha 90.00
_cell_angle_beta 115.74
_cell_angle_gamma 90.00
loop_
_atom_site_label
_atom_site_type_symbol
_atom_site_fract_x
_atom_site_fract_y
_atom_site_fract_z
Sb1 Sb 0.0000 0.0000 0.0000
Sb2 Sb 0.2081 0.0000 0.7163
Sb3 Sb 0.5000 0.5000 0.0000
Sb4 Sb 0.7081 0.5000 0.7163
W1 W 0.4844 0.0000 0.6964
W2 W 0.9844 0.5000 0.6964
Br1 Br 0.3437 0.5000 0.4126
Br2 Br 0.8437 0.0000 0.4126

***

--- ii ---
# Sb2WBr GGA-PBE relaxed
# **DOS(E_F)**: 10.5 states/eV per cell
# **Theoretical density**: 8.68 g/cm3
# **Space group**: R3m (160)
data_Sb2WBr
_chemical_formula_sum 'Sb6 W3 Br3'
_space_group_name_H-M_alt 'P 1'
_space_group_IT_number 1
_space_group_name_Hall 'P 1'
_cell_length_a 3.3990
_cell_length_b 3.3990
_cell_length_c 29.0903
_cell_angle_alpha 90.00
_cell_angle_beta 90.00
_cell_angle_gamma 120.00
loop_
_atom_site_label
_atom_site_type_symbol
_atom_site_fract_x
_atom_site_fract_y
_atom_site_fract_z
Sb1 Sb 0.0000 0.0000 0.0000
Sb2 Sb 0.0000 0.0000 0.2470
Sb3 Sb 0.3333 0.6667 0.6667
Sb4 Sb 0.3333 0.6667 0.9136
Sb5 Sb 0.6667 0.3333 0.3333
Sb6 Sb 0.6667 0.3333 0.5803
W1 W 0.0000 0.0000 0.7325
W2 W 0.3333 0.6667 0.3991
W3 W 0.6667 0.3333 0.0658
Br1 Br 0.0000 0.0000 0.4628
Br2 Br 0.3333 0.6667 0.1295
Br3 Br 0.6667 0.3333 0.7962

***

Each structure's energy above the most stable one, in meV per atom: i 0; ii 120.

***

--- i ---
# Sb2WBr GGA-PBE relaxed
# **DOS(E_F)**: 4.5 states/eV per cell
# **Theoretical density**: 9.48 g/cm3
# **Space group**: P4/mmm (123)
data_Sb2WBr
_chemical_formula_sum 'Sb2 W1 Br1'
_space_group_name_H-M_alt 'P 1'
_space_group_IT_number 1
_space_group_name_Hall 'P 1'
_cell_length_a 5.3948
_cell_length_b 5.3948
_cell_length_c 3.0529
_cell_angle_alpha 90.00
_cell_angle_beta 90.00
_cell_angle_gamma 90.00
loop_
_atom_site_label
_atom_site_type_symbol
_atom_site_fract_x
_atom_site_fract_y
_atom_site_fract_z
Sb1 Sb 0.0000 0.5000 0.0000
Sb2 Sb 0.5000 0.0000 0.0000
W1 W 0.0000 0.0000 0.5000
Br1 Br 0.5000 0.5000 0.5000

***

--- ii ---
# Sb2WBr GGA-PBE relaxed
# **DOS(E_F)**: 6.5 states/eV per cell
# **Theoretical density**: 8.42 g/cm3
# **Space group**: Immm (71)
data_Sb2WBr
_chemical_formula_sum 'Sb4 W2 Br2'
_space_group_name_H-M_alt 'P 1'
_space_group_IT_number 1
_space_group_name_Hall 'P 1'
_cell_length_a 3.2077
_cell_length_b 5.0347
_cell_length_c 12.3936
_cell_angle_alpha 90.00
_cell_angle_beta 90.00
_cell_angle_gamma 90.00
loop_
_atom_site_label
_atom_site_type_symbol
_atom_site_fract_x
_atom_site_fract_y
_atom_site_fract_z
Sb1 Sb 0.0000 0.0000 0.1826
Sb2 Sb 0.0000 0.0000 0.8174
Sb3 Sb 0.5000 0.5000 0.3174
Sb4 Sb 0.5000 0.5000 0.6826
W1 W 0.0000 0.5000 0.5000
W2 W 0.5000 0.0000 0.0000
Br1 Br 0.0000 0.5000 0.0000
Br2 Br 0.5000 0.0000 0.5000

***

Each structure's energy above the most stable one, in meV per atom: i 239; ii 0.

***

--- i ---
# Sb2WBr GGA-PBE relaxed
# **DOS(E_F)**: 12.0 states/eV per cell
# **Theoretical density**: 9.78 g/cm3
# **Space group**: F-43m (216)
data_Sb2WBr
_chemical_formula_sum 'Sb8 W4 Br4'
_space_group_name_H-M_alt 'P 1'
_space_group_IT_number 1
_space_group_name_Hall 'P 1'
_cell_length_a 7.0105
_cell_length_b 7.0105
_cell_length_c 7.0105
_cell_angle_alpha 90.00
_cell_angle_beta 90.00
_cell_angle_gamma 90.00
loop_
_atom_site_label
_atom_site_type_symbol
_atom_site_fract_x
_atom_site_fract_y
_atom_site_fract_z
Sb1 Sb 0.0000 0.0000 0.0000
Sb2 Sb 0.0000 0.5000 0.5000
Sb3 Sb 0.2500 0.2500 0.2500
Sb4 Sb 0.2500 0.7500 0.7500
Sb5 Sb 0.5000 0.0000 0.5000
Sb6 Sb 0.5000 0.5000 0.0000
Sb7 Sb 0.7500 0.2500 0.7500
Sb8 Sb 0.7500 0.7500 0.2500
W1 W 0.2500 0.2500 0.7500
W2 W 0.2500 0.7500 0.2500
W3 W 0.7500 0.2500 0.2500
W4 W 0.7500 0.7500 0.7500
Br1 Br 0.0000 0.0000 0.5000
Br2 Br 0.0000 0.5000 0.0000
Br3 Br 0.5000 0.0000 0.0000
Br4 Br 0.5000 0.5000 0.5000

***

--- ii ---
# Sb2WBr GGA-PBE relaxed
# **DOS(E_F)**: 3.2 states/eV per cell
# **Theoretical density**: 9.59 g/cm3
# **Space group**: Pmmm (47)
data_Sb2WBr
_chemical_formula_sum 'Sb2 W1 Br1'
_space_group_name_H-M_alt 'P 1'
_space_group_IT_number 1
_space_group_name_Hall 'P 1'
_cell_length_a 3.2870
_cell_length_b 5.0194
_cell_length_c 5.3245
_cell_angle_alpha 90.00
_cell_angle_beta 90.00
_cell_angle_gamma 90.00
loop_
_atom_site_label
_atom_site_type_symbol
_atom_site_fract_x
_atom_site_fract_y
_atom_site_fract_z
Sb1 Sb 0.0000 0.0000 0.0000
Sb2 Sb 0.5000 0.0000 0.5000
W1 W 0.0000 0.5000 0.5000
Br1 Br 0.5000 0.5000 0.0000

***

Each structure's energy above the most stable one, in meV per atom: i 0; ii 113.